[1]
# Ni4Mo2Pt3

A geometry-optimized Ni4Mo2Pt3 structure (PBE, the Alexandria database).

Results
Excess energy over the best structure of this formula in the dataset: 0.060 eV per atom

Cell lengths 12.088, 9.089, 4.605 Å; angles 90.00, 99.56, 90.00 degrees
Space group C2/c (No. 15)
Inequivalent atoms, fractional coordinates:
Ni1 0.051 0.144 0.024 x8
Ni2 0.116 0.365 0.309 x8
Mo1 0.220 0.361 0.847 x8
Pt1 0.000 0.398 0.750 x4
Pt2 0.160 0.104 0.580 x8

***

[2]
# Ni2MoPt4

A geometry-optimized Ni2MoPt4 structure (PBE, the Alexandria database).

Results
Excess energy over the best structure of this formula in the dataset: 0.000 eV per atom

Cell lengths 7.553, 7.553, 7.549 Å; angles 90.00, 90.00, 90.00 degrees
Space group I-42d (No. 122)
Inequivalent atoms, fractional coordinates:
Ni1 0.125 0.750 0.125 x8
Mo1 0.000 0.000 0.500 x4
Pt1 0.083 0.670 0.457 x16

***

[3]
# NiMo2Pt

A geometry-optimized NiMo2Pt structure (PBE, the Alexandria database).

Results
Excess energy over the best structure of this formula in the dataset: 0.000 eV per atom

Cell lengths 4.417, 5.366, 4.868 Å; angles 90.00, 90.00, 90.00 degrees
Space group Pmmn (No. 59, origin choice 2)
Inequivalent atoms, fractional coordinates:
Ni1 0.250 0.250 0.166 x2
Mo1 0.250 0.002 0.666 x4
Pt1 0.250 0.750 0.151 x2

***

[4]
# Ni2MoPt

A geometry-optimized Ni2MoPt structure (PBE, the Alexandria database).

Results
E: -7.2497 eV per atom

Cell lengths 2.702, 3.776, 5.226 Å; angles 90.00, 90.00, 90.00 degrees
Space group Pmm2 (No. 25)
Inequivalent atoms, fractional coordinates:
Ni1 0.000 0.000 0.000 x1
Ni2 0.500 0.500 0.225 x1
Mo1 0.500 0.500 0.760 x1
Pt1 0.000 0.000 0.489 x1

***

[5]
# Ni2MoPt

A geometry-optimized Ni2MoPt structure (PBE, the Alexandria database).

Results
E: -7.1887 eV per atom

Cell lengths 2.682, 2.682, 7.417 Å; angles 90.00, 90.00, 90.00 degrees
Space group P4/mmm (No. 123)
Inequivalent atoms, fractional coordinates:
Ni1 0.000 0.000 0.246 x2
Mo1 0.500 0.500 0.000 x1
Pt1 0.500 0.500 0.500 x1

***

[6]
# Ni7MoPt4

A geometry-optimized Ni7MoPt4 structure (PBE, the Alexandria database).

Results
E: -6.0815 eV per atom

Cell lengths 8.993, 4.443, 8.961 Å; angles 90.00, 113.40, 90.00 degrees
Space group C2/m (No. 12)
Inequivalent atoms, fractional coordinates:
Ni1 0.000 0.000 0.000 x2
Ni2 0.130 0.500 0.475 x4
Ni3 0.150 0.000 0.615 x4
Ni4 0.219 0.000 0.914 x4
Mo1 0.000 0.500 0.000 x2
Pt1 0.093 0.000 0.301 x4
Pt2 0.131 0.500 0.769 x4

***

[7]
# Ni4Mo2Pt3

A geometry-optimized Ni4Mo2Pt3 structure (PBE, the Alexandria database).

Results
Excess energy over the best structure of this formula in the dataset: 0.000 eV per atom

Cell lengths 4.682, 6.935, 8.254 Å; angles 72.21, 74.83, 88.69 degrees
Space group P-1 (No. 2)
Inequivalent atoms, fractional coordinates:
Ni1 0.018 0.089 0.327 x2
Ni2 0.101 0.859 0.112 x2
Ni3 0.330 0.415 0.664 x2
Ni4 0.448 0.197 0.441 x2
Mo1 0.228 0.477 0.231 x2
Mo2 0.342 0.240 0.992 x2
Pt1 0.112 0.702 0.445 x2
Pt2 0.218 0.634 0.888 x2
Pt3 0.429 0.028 0.773 x2

***

[8]
# Ni3MoPt

A geometry-optimized Ni3MoPt structure (PBE, the Alexandria database).

Results
Excess energy over the best structure of this formula in the dataset: 1.478 eV per atom

Cell lengths 4.388, 4.388, 4.388 Å; angles 90.00, 90.00, 90.00 degrees
Space group Pm-3m (No. 221)
Inequivalent atoms, fractional coordinates:
Ni1 0.000 0.000 0.500 x3
Mo1 0.000 0.000 0.000 x1
Pt1 0.500 0.500 0.500 x1

***

[9]
# Ni2Mo3Pt3

A geometry-optimized Ni2Mo3Pt3 structure (PBE, the Alexandria database).

Results
E: -7.9674 eV per atom

Cell lengths 3.898, 4.034, 14.633 Å; angles 90.00, 90.00, 90.00 degrees
Space group Immm (No. 71)
Inequivalent atoms, fractional coordinates:
Ni1 0.000 0.000 0.250 x4
Mo1 0.000 0.000 0.000 x2
Mo2 0.000 0.500 0.365 x4
Pt1 0.000 0.000 0.500 x2
Pt2 0.000 0.500 0.130 x4

***

[10]
# NiMo2Pt

A geometry-optimized NiMo2Pt structure (PBE, the Alexandria database).

Results
Excess energy over the best structure of this formula in the dataset: 0.195 eV per atom

Cell lengths 9.250, 2.860, 4.523 Å; angles 90.00, 101.63, 90.00 degrees
Space group C2/m (No. 12)
Inequivalent atoms, fractional coordinates:
Ni1 0.000 0.000 0.000 x2
Mo1 0.248 0.500 0.243 x4
Pt1 0.000 0.500 0.500 x2

***

[11]
# Ni2MoPt

A geometry-optimized Ni2MoPt structure (PBE, the Alexandria database).

Results
E: -7.0818 eV per atom

Cell lengths 6.011, 6.011, 6.011 Å; angles 90.00, 90.00, 90.00 degrees
Space group F-43m (No. 216)
Inequivalent atoms, fractional coordinates:
Ni1 0.000 0.000 0.000 x4
Ni2 0.250 0.250 0.250 x4
Mo1 0.000 0.000 0.500 x4
Pt1 0.250 0.250 0.750 x4

***

[12]
# NiMo2Pt

A geometry-optimized NiMo2Pt structure (PBE, the Alexandria database).

Results
Excess energy over the best structure of this formula in the dataset: 0.033 eV per atom

Cell lengths 2.695, 3.999, 5.375 Å; angles 90.00, 90.49, 90.00 degrees
Space group P2/m (No. 10)
Inequivalent atoms, fractional coordinates:
Ni1 0.000 0.000 0.000 x1
Mo1 0.495 0.500 0.234 x2
Pt1 0.000 0.000 0.500 x1

***

[13]
# Ni3MoPt2

A geometry-optimized Ni3MoPt2 structure (PBE, the Alexandria database).

Results
Excess energy over the best structure of this formula in the dataset: 0.049 eV per atom

Cell lengths 5.276, 8.316, 14.660 Å; angles 90.00, 90.00, 90.00 degrees
Space group Fmmm (No. 69)
Inequivalent atoms, fractional coordinates:
Ni1 0.000 0.000 0.165 x8
Ni2 0.000 0.247 0.082 x16
Mo1 0.000 0.000 0.335 x8
Pt1 0.250 0.000 0.000 x8
Pt2 0.250 0.250 0.250 x8

***

[14]
# Ni2MoPt

A geometry-optimized Ni2MoPt structure (PBE, the Alexandria database).

Results
E: -7.3032 eV per atom

Cell lengths 3.688, 3.688, 7.767 Å; angles 90.00, 90.00, 90.00 degrees
Space group I-4m2 (No. 119)
Inequivalent atoms, fractional coordinates:
Ni1 0.000 0.000 0.000 x2
Ni2 0.000 0.500 0.250 x2
Mo1 0.000 0.000 0.500 x2
Pt1 0.000 0.500 0.750 x2

***

[15]
# Ni2MoPt6

A geometry-optimized Ni2MoPt6 structure (PBE, the Alexandria database).

Results
Excess energy over the best structure of this formula in the dataset: 0.160 eV per atom

Cell lengths 9.614, 11.389, 5.016 Å; angles 90.00, 99.70, 90.00 degrees
Space group C2/c (No. 15)
Inequivalent atoms, fractional coordinates:
Ni1 0.120 0.014 0.365 x8
Mo1 0.000 0.398 0.250 x4
Pt1 0.056 0.194 0.027 x8
Pt2 0.145 0.404 0.798 x8
Pt3 0.238 0.167 0.677 x8

***

[16]
# Ni2MoPt

A geometry-optimized Ni2MoPt structure (PBE, the Alexandria database).

Results
E: -7.2498 eV per atom

Cell lengths 3.780, 3.780, 7.421 Å; angles 90.00, 90.00, 90.00 degrees
Space group I4/mmm (No. 139)
Inequivalent atoms, fractional coordinates:
Ni1 0.000 0.500 0.250 x4
Mo1 0.000 0.000 0.000 x2
Pt1 0.000 0.000 0.500 x2

***

[17]
# NiMo2Pt8

A geometry-optimized NiMo2Pt8 structure (PBE, the Alexandria database).

Results
E: -7.1061 eV per atom

Cell lengths 14.224, 3.916, 6.233 Å; angles 90.00, 104.69, 90.00 degrees
Space group C2/m (No. 12)
Inequivalent atoms, fractional coordinates:
Ni1 0.000 0.000 0.000 x2
Mo1 0.227 0.500 0.636 x4
Pt1 0.047 0.500 0.734 x4
Pt2 0.094 0.000 0.454 x4
Pt3 0.139 0.500 0.191 x4
Pt4 0.181 0.000 0.916 x4

***

[18]
# Ni3MoPt6

A geometry-optimized Ni3MoPt6 structure (PBE, the Alexandria database).

Results
Excess energy over the best structure of this formula in the dataset: 0.000 eV per atom

Cell lengths 9.013, 12.369, 2.746 Å; angles 90.00, 90.00, 90.00 degrees
Space group Pnnm (No. 58)
Inequivalent atoms, fractional coordinates:
Ni1 0.000 0.000 0.000 x2
Ni2 0.103 0.329 0.500 x4
Mo1 0.000 0.500 0.000 x2
Pt1 0.061 0.796 0.000 x4
Pt2 0.199 0.630 0.500 x4
Pt3 0.219 0.947 0.500 x4

***

[19]
# NiMo2Pt

A geometry-optimized NiMo2Pt structure (PBE, the Alexandria database).

Results
Excess energy over the best structure of this formula in the dataset: 0.105 eV per atom

Cell lengths 8.946, 2.695, 4.905 Å; angles 90.00, 98.10, 90.00 degrees
Space group Cm (No. 8)
Inequivalent atoms, fractional coordinates:
Ni1 0.000 0.000 0.000 x2
Mo1 0.000 0.500 0.502 x2
Mo2 0.257 0.000 0.784 x2
Pt1 0.251 0.500 0.259 x2

***

[20]
# Ni2MoPt5

A geometry-optimized Ni2MoPt5 structure (PBE, the Alexandria database).

Results
Excess energy over the best structure of this formula in the dataset: 0.147 eV per atom

Cell lengths 6.581, 6.581, 10.972 Å; angles 90.00, 90.00, 90.00 degrees
Space group I4/mcm (No. 140)
Inequivalent atoms, fractional coordinates:
Ni1 0.136 0.364 0.000 x8
Mo1 0.000 0.000 0.250 x4
Pt1 0.000 0.000 0.000 x4
Pt2 0.157 0.343 0.343 x16

***

Number 1: mass density 13470 kg/m³. Number 2: mass density 15326 kg/m³. Number 3: mass density 12826 kg/m³. Number 4: mass density 12720 kg/m³. Number 5: mass density 12707 kg/m³. Number 6: mass density 13006 kg/m³. Number 7: mass density 13669 kg/m³. Number 8: mass density 9181 kg/m³. Number 9: mass density 14293 kg/m³. Number 10: mass density 12629 kg/m³. Number 11: mass density 12489 kg/m³. Number 12: mass density 12776 kg/m³. Number 13: mass density 13676 kg/m³. Number 14: mass density 12836 kg/m³. Number 15: mass density 16978 kg/m³. Number 16: mass density 12792 kg/m³. Number 17: mass density 17911 kg/m³. Number 18: mass density 15647 kg/m³. Number 19: mass density 12641 kg/m³. Number 20: mass density 16614 kg/m³.